Below is a relaxed Dy5Y2Th2 crystal, with properties calculated at the GGA-PBE level.

Calculated values
Offset from the most stable computed form in meV per atom: 0.0
Energy of formation in meV/atom: 238
V in Å³ per atom: 32.5
D(E_F) in states/eV per cell: 27.147

Lattice parameters (Å, degrees): 11.8939 6.6199 10.0678 109.19 126.21 90.00
Closest atoms and distances in Å follow each position.
Element x y z (fractional)
Dy: 0.4184 0.5497 0.2857  5 Dy 3.18-3.56, 2 Th 3.33-3.49, 2 Y 3.38-3.55
Dy: 0.9805 0.1520 0.5000  4 Dy 3.18-3.34, 2 Th 3.39-3.46, 2 Y 3.48
Dy: 0.5816 0.2640 0.7143  5 Dy 3.18-3.56, 2 Th 3.33-3.49, 2 Y 3.38-3.55
Dy: 0.7960 0.7672 0.1064  5 Dy 3.18-3.56, 1 Th 3.26, 1 Y 3.45
Dy: 0.6327 0.7640 0.7143  5 Dy 3.18-3.56, 2 Th 3.33-3.49, 2 Y 3.38-3.55
Dy: 0.3673 0.0497 0.2857  5 Dy 3.18-3.56, 2 Th 3.33-3.49, 2 Y 3.38-3.55
Dy: 0.2040 0.6608 0.8936  5 Dy 3.18-3.56, 1 Th 3.26, 1 Y 3.45
Dy: 0.8104 0.2672 0.1064  5 Dy 3.18-3.56, 1 Th 3.26, 1 Y 3.45
Dy: 0.1896 0.1608 0.8936  5 Dy 3.18-3.56, 1 Th 3.26, 1 Y 3.45
Dy: 0.0195 0.6520 0.5000  4 Dy 3.18-3.34, 2 Th 3.39-3.46, 2 Y 3.48
Th: 0.0000 0.0179 0.0000  4 Dy 3.26-3.49, 2 Y 3.62
Th: 0.2480 0.3279 0.5000  4 Dy 3.33-3.46, 2 Y 3.63
Th: 0.7520 0.8279 0.5000  4 Dy 3.33-3.46, 2 Y 3.63
Th: 0.5000 0.5179 0.0000  4 Dy 3.26-3.49, 2 Y 3.62
Y: 0.6215 0.1729 0.2494  4 Dy 3.38-3.55, 2 Th 3.62-3.63, 2 Y 3.70-3.72
Y: 0.3785 0.9236 0.7506  4 Dy 3.38-3.55, 2 Th 3.62-3.63, 2 Y 3.70-3.72
Y: 0.1279 0.6729 0.2494  4 Dy 3.38-3.55, 2 Th 3.62-3.63, 2 Y 3.70-3.72
Y: 0.8721 0.4236 0.7506  4 Dy 3.38-3.55, 2 Th 3.62-3.63, 2 Y 3.70-3.72